A relaxed structure of Ni2TeIF, computed with PBE+U.

Unit cell a=4.3433 b=4.3433 c=6.0697 alpha=90.00 beta=90.00 gamma=90.00
Fractional coordinates of all 5 atoms:
Ni: 0.0000 0.5000 0.0000
Ni: 0.5000 0.0000 0.0000
Te: 0.0000 0.0000 0.5000
I: 0.5000 0.5000 0.5000
F: 0.0000 0.0000 0.0000

Symmetry: P4/mmm (123)
Energy (Ry per atom): -0.1552
DOS at the Fermi energy (states/eV per cell): 1.56
Volume (Å³/cell): 114.5